Entry 1:
The following is a PBE calculation of a relaxed structure of NdMg6Cd4, from Alexandria.

Values from the calculation:
DOS(E_F), states/eV/cell: 6.14
Raw total energy, eV per cell: -19.16

```
11
Lattice="-3.1941 -0.9034 0.2751 2.5955 -9.2003 -0.0789 -0.6211 4.7203 8.2898" Properties=species:S:1:pos:R:3 pbc="T T T"
Mg -1.6197 1.6791 6.8706
Cd -0.7899 -2.8680 1.5739
Mg 2.1830 -6.5350 3.8847
Cd 0.4303 -7.1933 1.5368
Cd 0.1384 -4.9741 5.4341
Mg 1.3279 -4.5948 0.3286
Mg -0.4727 -2.3869 6.8358
Cd 0.4511 0.0801 5.5003
Nd 0.0000 0.0000 0.0000
Mg 1.0590 -2.5505 3.9188
Mg -1.3453 -0.4070 3.2070
```

***

Entry 2:
The following is a PBE calculation of a relaxed structure of NdMgCd4, from Alexandria.

Values from the calculation:
DOS(E_F), states/eV/cell: 2.81
Polymorph energy (0 for the lowest one), meV/atom: 0
Raw total energy, eV per cell: -11.55

```
6
Lattice="4.9519 -0.0220 -0.0262 -2.4584 4.2925 -0.2227 0.0349 0.3683 6.8532" Properties=species:S:1:pos:R:3 pbc="T T T"
Cd 1.2711 0.7894 1.5920
Cd 1.2827 3.6438 1.4334
Cd 1.3020 3.8427 4.9881
Cd 1.2904 0.9882 5.1464
Mg -1.1787 2.5123 6.7271
Nd -1.1898 2.3270 3.3024
```

***

Entry 3:
The following is a PBE calculation of a relaxed structure of Nd3MgCd, from Alexandria.

Values from the calculation:
DOS(E_F), states/eV/cell: 12.53
Polymorph energy (0 for the lowest one), meV/atom: 0
Raw total energy, eV per cell: -35.17

```
10
Lattice="-2.0372 -1.9815 -4.6146 4.2976 -3.2525 -0.5007 -5.9695 -8.3559 3.0411" Properties=species:S:1:pos:R:3 pbc="T T T"
Nd 0.0877 -6.7637 0.8023
Cd -5.0299 -8.5048 -2.5556
Cd -0.0001 -6.3699 -2.5105
Nd -3.8124 -11.5164 -1.7999
Nd -1.2177 -3.3582 -3.2661
Nd -4.9622 -8.9286 0.7790
Mg -1.1130 -3.7270 0.0284
Nd -3.0805 -6.1294 -1.2538
Mg -1.8798 -9.1661 -0.4799
Nd 1.9694 -3.9645 -1.2304
```

***

Entry 4:
The following is a PBE calculation of a relaxed structure of NdMgCd, from Alexandria.

Values from the calculation:
DOS(E_F), states/eV/cell: 2.04
Raw total energy, eV per cell: -7.08

```
3
Lattice="-5.7513 -0.9399 0.0436 -1.5856 -2.9370 0.7018 -0.1883 1.4062 5.4597" Properties=species:S:1:pos:R:3 pbc="T T T"
Mg -3.6684 -1.9384 0.3727
Nd -0.0941 0.7031 2.7299
Cd -0.7928 -1.4685 0.3509
```

***

Entry 5:
The following is a PBE calculation of a relaxed structure of NdMg5Cd6, from Alexandria.

Values from the calculation:
DOS(E_F), states/eV/cell: 4.67
Raw total energy, eV per cell: -20.10

```
12
Lattice="4.6947 0.0000 0.0131 2.3473 7.1472 0.0066 -0.0229 0.0000 8.2185" Properties=species:S:1:pos:R:3 pbc="T T T"
Cd 2.3306 0.0000 5.9939
Mg 4.6832 4.7121 4.1224
Mg 2.3359 2.4350 4.1158
Cd 2.3414 4.7285 2.1441
Cd 4.6777 2.4186 6.0940
Mg 4.6947 4.6920 0.0131
Nd 0.0000 0.0000 0.0000
Mg 2.3473 2.4552 0.0066
Mg -0.0115 0.0000 4.1092
Cd 2.3304 4.7285 6.0875
Cd 4.6887 2.4186 2.1507
Cd 2.3411 0.0000 2.2377
```

***

Entry 6:
The following is a PBE calculation of a relaxed structure of Nd3MgCd2, from Alexandria.

Values from the calculation:
DOS(E_F), states/eV/cell: 7.67
Polymorph energy (0 for the lowest one), meV/atom: 5
Raw total energy, eV per cell: -19.22

```
6
Lattice="-1.9905 -2.0986 -2.5769 2.8549 0.4578 -2.5780 5.0763 -9.6200 3.9132" Properties=species:S:1:pos:R:3 pbc="T T T"
Nd 0.0000 0.0000 0.0000
Cd 4.6487 -8.8110 0.6730
Mg 2.9704 -5.6304 -0.6208
Nd 1.6885 -3.1998 1.3016
Nd 3.3878 -6.4202 2.6116
Cd 1.2920 -2.4498 -1.9146
```

***

Entry 7:
The following is a PBE calculation of a relaxed structure of Nd12MgCd6, from Alexandria.

Values from the calculation:
DOS(E_F), states/eV/cell: 23.71
Raw total energy, eV per cell: -66.39

```
19
Lattice="9.0561 -1.1180 -1.3393 -2.4780 8.7819 -1.3393 -2.4780 -2.8870 8.4013" Properties=species:S:1:pos:R:3 pbc="T T T"
Nd 1.1782 3.1807 0.6500
Nd 4.5714 -1.1833 6.0459
Nd 2.9219 1.5961 5.0726
Cd -1.8443 3.9141 2.1871
Nd -0.1082 1.1754 3.2457
Nd 5.3958 5.4524 -0.0839
Nd -1.2957 -0.6755 5.8064
Nd 5.9627 -0.3964 0.3729
Nd 4.2083 3.6015 2.4769
Nd -1.8626 5.1732 5.3497
Cd 5.9444 0.8628 3.5355
Nd 1.1347 4.4316 3.9861
Cd 4.1484 2.3716 -0.8190
Cd -0.0483 2.4053 6.5416
Nd 2.9653 0.3453 1.7365
Nd -0.4713 5.9602 -0.3233
Cd 2.3848 6.3797 1.4807
Mg 0.0000 0.0000 0.0000
Cd 1.7153 -1.6028 4.2419
```

***

Entry 8:
The following is a PBE calculation of a relaxed structure of Nd4Mg2Cd, from Alexandria.

Values from the calculation:
DOS(E_F), states/eV/cell: 11.31
Raw total energy, eV per cell: -23.13

```
7
Lattice="-6.5271 -0.1199 -1.2599 2.1619 -6.2044 1.0182 1.1311 3.6855 5.4169" Properties=species:S:1:pos:R:3 pbc="T T T"
Cd 0.0000 0.0000 0.0000
Nd 0.5656 1.8427 2.7084
Mg -2.6980 1.7828 2.0785
Nd -3.2635 -0.0599 -0.6299
Nd -1.6170 -1.3194 2.5876
Nd 1.0809 -3.1022 0.5091
Mg -2.1826 -3.1621 -0.1209
```

***

Entry 9:
The following is a PBE calculation of a relaxed structure of Nd12Mg2Cd5, from Alexandria.

Values from the calculation:
DOS(E_F), states/eV/cell: 23.43
Raw total energy, eV per cell: -66.69

```
19
Lattice="10.3716 0.0000 0.0000 -5.1858 6.5972 1.6185 0.0000 -0.5939 8.4689" Properties=species:S:1:pos:R:3 pbc="T T T"
Nd 0.0000 0.9520 7.5224
Cd 5.1858 3.4602 5.3476
Cd 0.0000 4.2675 1.6224
Cd 0.0000 -0.2969 4.2344
Nd -3.2398 4.1438 8.0161
Nd -2.1921 4.8072 4.3846
Nd 1.9460 1.8595 2.0712
Nd 2.1921 4.8072 4.3846
Cd 5.1858 1.7359 8.4650
Nd 2.9937 1.1962 5.7028
Nd 8.4256 1.8595 2.0712
Mg 3.4774 0.0000 0.0000
Nd 3.2398 4.1438 8.0161
Nd 5.1858 5.0513 2.5650
Nd 5.1858 1.0643 2.9350
Cd 0.0000 2.5432 4.7398
Nd 7.3779 1.1962 5.7028
Nd 0.0000 4.9391 7.1524
Mg 6.8942 0.0000 0.0000
```

***

Entry 10:
The following is a PBE calculation of a relaxed structure of NdMg8Cd4, from Alexandria.

Values from the calculation:
DOS(E_F), states/eV/cell: 4.98
Raw total energy, eV per cell: -23.12

```
13
Lattice="-0.8267 -5.8825 0.0398 1.0850 -3.1987 -6.9094 6.4501 -3.8956 1.5395" Properties=species:S:1:pos:R:3 pbc="T T T"
Cd 3.2250 -1.9478 0.7698
Cd 0.1292 -4.5406 -3.4348
Nd 0.0000 0.0000 0.0000
Mg 4.6101 -6.6704 -3.4776
Cd 0.5425 -1.5994 -3.4547
Mg 4.5734 -3.6518 -1.4159
Mg 1.8150 -6.2885 -5.0890
Mg 2.9617 -3.4425 -3.9540
Mg 5.3398 -9.7773 -4.1971
Cd 2.8117 -4.8890 0.7897
Mg 2.0983 -6.3064 -1.8525
Mg 4.8934 -6.6883 -0.2411
Mg 1.3686 -3.1995 -1.1329
```

***

Entry 11:
The following is a PBE calculation of a relaxed structure of NdMgCd, from Alexandria.

Values from the calculation:
DOS(E_F), states/eV/cell: 5.69
Raw total energy, eV per cell: -7.41

```
3
Lattice="-1.6515 -0.8170 4.6980 0.3055 -4.6166 2.0149 3.2958 -0.9213 3.7087" Properties=species:S:1:pos:R:3 pbc="T T T"
Mg 0.9749 -3.1774 5.2108
Nd 0.0000 0.0000 0.0000
Cd 0.4875 -1.5887 2.6054
```

***

Entry 12:
The following is a PBE calculation of a relaxed structure of Nd3Mg3Cd8, from Alexandria.

Values from the calculation:
DOS(E_F), states/eV/cell: 9.28
Raw total energy, eV per cell: -30.06

```
14
Lattice="4.9326 0.0000 0.0000 2.4663 8.6923 0.4121 2.4663 2.7631 8.2517" Properties=species:S:1:pos:R:3 pbc="T T T"
Nd 4.9326 2.3983 1.8138
Cd 7.3988 6.6983 6.8008
Cd 2.4663 4.7571 1.8631
Cd 4.9326 9.0075 3.2896
Cd 2.4663 3.0879 4.0701
Cd 4.9326 2.4479 5.3742
Mg 2.4663 3.8260 6.8464
Mg 2.4663 7.6294 1.8175
Nd 4.9326 9.0571 6.8500
Nd 4.9326 5.7277 4.3319
Cd 4.9326 5.8377 0.8923
Mg 2.4663 0.0000 0.0000
Cd 4.9326 5.6177 7.7716
Cd 7.3988 8.3675 4.5938
```

***

Entry 13:
The following is a PBE calculation of a relaxed structure of NdMgCd, from Alexandria.

Values from the calculation:
DOS(E_F), states/eV/cell: 2.31
Raw total energy, eV per cell: -8.01

```
3
Lattice="-0.3227 -3.4295 -0.0261 4.4211 -0.4359 2.6022 -4.4570 0.4000 2.5461" Properties=species:S:1:pos:R:3 pbc="T T T"
Nd 1.2466 -2.4429 2.5661
Cd -1.5511 -0.4467 2.5605
Mg -0.0542 -0.5758 -0.0044
```

***

Entry 14:
The following is a PBE calculation of a relaxed structure of NdMg2Cd6, from Alexandria.

Values from the calculation:
DOS(E_F), states/eV/cell: 12.91
Polymorph energy (0 for the lowest one), meV/atom: 393
Raw total energy, eV per cell: -22.35

```
18
Lattice="-7.3990 5.1653 1.5136 -5.0126 -1.2876 7.5453 0.0796 6.2634 6.6693" Properties=species:S:1:pos:R:3 pbc="T T T"
Cd -8.6876 4.5111 11.6410
Nd -6.1660 5.0705 7.8641
Cd -9.8104 10.7005 11.9513
Mg -5.2410 3.8503 2.7228
Cd -9.2059 4.4899 8.4457
Cd -3.1261 5.6512 7.2826
Cd -9.8492 7.6519 8.7052
Nd -9.2490 7.6058 11.7962
Mg -1.5017 4.3994 5.3007
Cd -6.2091 8.1864 11.2146
Cd -6.7662 5.1167 4.7731
Cd -6.7274 8.1652 8.0193
Mg -4.0478 0.6238 5.7387
Cd -5.5659 5.0244 10.9551
Cd -12.2889 7.0252 12.3777
Cd -8.6489 7.5597 14.8871
Cd -5.6046 1.9759 7.7090
Mg -1.5415 1.2676 1.9660
```

***

Entry 15:
The following is a PBE calculation of a relaxed structure of Nd2Mg5Cd12, from Alexandria.

Values from the calculation:
DOS(E_F), states/eV/cell: 5.37
Raw total energy, eV per cell: -32.23

```
19
Lattice="-5.1299 2.2556 -5.2105 0.5790 -5.9877 -4.7292 -5.9871 -3.9947 2.5981" Properties=species:S:1:pos:R:3 pbc="T T T"
Mg 0.2895 -2.9938 -2.3646
Nd -3.5115 -2.5747 -2.4464
Nd -7.0265 -5.1520 -4.8951
Mg -1.0678 -0.7829 -0.7439
Cd -1.3562 -5.4003 -2.5696
Mg -9.4703 -6.9438 -6.5976
Cd -4.0519 -4.5821 0.4386
Cd -3.4473 -0.1739 -5.0686
Cd -7.0558 -2.0339 -2.4025
Cd -4.2605 -6.0700 -2.1669
Cd -5.3825 0.4135 -2.9090
Mg -2.5650 1.1278 -2.6052
Cd -6.6972 -4.7170 -1.3514
Cd -6.2775 -1.6567 -5.1746
Cd -5.7345 -2.1525 0.2967
Cd -1.1036 -3.5581 -4.8710
Cd -3.8409 -3.0097 -5.9902
Mg -2.9935 -1.9973 1.2991
Cd -3.4822 -5.6928 -4.9390
```

***

Entry 16:
The following is a PBE calculation of a relaxed structure of NdMgCd2, from Alexandria.

Values from the calculation:
DOS(E_F), states/eV/cell: 2.04
Polymorph energy (0 for the lowest one), meV/atom: 95
Raw total energy, eV per cell: -9.14

```
4
Lattice="3.4630 0.0000 0.0000 0.0000 3.4630 0.0000 0.0000 0.0000 8.2394" Properties=species:S:1:pos:R:3 pbc="T T T"
Cd 0.0000 0.0000 1.8418
Cd 0.0000 0.0000 6.3976
Mg 1.7315 1.7315 0.0000
Nd 1.7315 1.7315 4.1197
```

***

Entry 17:
The following is a PBE calculation of a relaxed structure of Nd2Mg12Cd5, from Alexandria.

Values from the calculation:
DOS(E_F), states/eV/cell: 6.95
Raw total energy, eV per cell: -35.88

```
19
Lattice="-5.5456 3.8647 3.7091 0.3856 -3.8223 6.6849 4.5497 4.9642 3.7554" Properties=species:S:1:pos:R:3 pbc="T T T"
Mg -1.4043 -1.5026 5.7869
Cd -0.5507 4.5177 12.7674
Mg -3.7557 1.5450 4.6071
Mg -2.4991 4.1965 3.7231
Mg 2.0205 4.1935 6.8056
Mg 3.2931 2.3127 4.6395
Cd 2.2748 2.4821 1.8777
Mg 2.3273 1.3531 7.3666
Cd 0.1928 -1.9112 3.3424
Mg 1.5032 4.6324 3.7414
Mg -2.6307 0.8131 7.3438
Mg -0.0246 -0.1217 8.2443
Mg -2.9375 3.6536 6.7828
Mg -0.5857 5.1284 5.9051
Cd -2.7728 1.9324 1.8545
Nd -0.2009 1.6480 4.6576
Cd -0.0596 0.4890 1.3820
Mg 1.6422 -1.1708 5.8009
Nd -0.4094 3.3586 9.4918
```

***

Entry 18:
The following is a PBE calculation of a relaxed structure of Nd4Mg3Cd2, from Alexandria.

Values from the calculation:
DOS(E_F), states/eV/cell: 10.84
Raw total energy, eV per cell: -27.14

```
9
Lattice="-2.3864 -1.5204 -4.6098 -4.7627 -2.5525 0.1333 -4.8056 8.9653 -0.4679" Properties=species:S:1:pos:R:3 pbc="T T T"
Mg 0.0000 0.0000 0.0000
Mg -4.7562 3.0687 -1.7233
Nd -2.9578 -0.2832 -1.5488
Nd -6.3448 0.4034 -0.0220
Mg -7.1986 1.8236 -3.2211
Nd -8.9970 5.1755 -3.3956
Nd -5.6100 4.4889 -4.9224
Cd -5.7228 -0.9263 -3.0786
Cd -6.2320 5.8186 -1.8658
```

***

Entry 19:
The following is a PBE calculation of a relaxed structure of Nd6MgCd, from Alexandria.

Values from the calculation:
DOS(E_F), states/eV/cell: 10.54
Raw total energy, eV per cell: -31.10

```
8
Lattice="-3.0672 6.3052 5.8319 -4.3709 -2.5105 7.6251 0.6517 1.1320 6.2324" Properties=species:S:1:pos:R:3 pbc="T T T"
Nd -4.1799 1.9848 13.5124
Nd -0.7859 1.7092 2.8838
Mg -3.3932 2.4634 9.8447
Nd -2.2727 -0.8871 5.3909
Nd -6.0004 3.2175 16.8055
Cd 0.0000 0.0000 0.0000
Nd -4.5136 5.8138 14.2984
Nd -2.6064 2.9419 6.1769
```

***

Entry 20:
The following is a PBE calculation of a relaxed structure of NdMg2Cd3, from Alexandria.

Values from the calculation:
DOS(E_F), states/eV/cell: 6.87
Polymorph energy (0 for the lowest one), meV/atom: 0
Raw total energy, eV per cell: -24.12

```
12
Lattice="4.9484 0.0000 0.0000 -2.4742 4.2854 0.0000 0.0000 0.0000 13.6384" Properties=species:S:1:pos:R:3 pbc="T T T"
Cd 0.0000 2.8570 1.8227
Nd 0.0000 0.0000 10.2288
Mg 0.0000 2.8570 12.3406
Nd 0.0000 0.0000 3.4096
Cd 2.4742 1.4285 8.6419
Cd 0.0000 2.8570 4.9965
Mg 0.0000 2.8570 8.1170
Cd 0.0000 0.0000 0.0000
Mg 2.4742 1.4285 5.5214
Mg 2.4742 1.4285 1.2978
Cd 2.4742 1.4285 11.8157
Cd 0.0000 0.0000 6.8192
```

***

Entry 21:
The following is a PBE calculation of a relaxed structure of Nd2MgCd, from Alexandria.

Values from the calculation:
DOS(E_F), states/eV/cell: 4.88
Raw total energy, eV per cell: -12.90

```
4
Lattice="5.4683 0.0001 0.0001 2.7343 4.7356 0.0001 2.7343 1.5786 4.4647" Properties=species:S:1:pos:R:3 pbc="T T T"
Nd 0.0000 0.0000 0.0000
Mg 8.2026 4.7358 3.3487
Nd 5.4684 3.1572 2.2325
Cd 2.7342 1.5786 1.1162
```

***

Entry 22:
The following is a PBE calculation of a relaxed structure of NdMg5Cd7, from Alexandria.

Values from the calculation:
DOS(E_F), states/eV/cell: 3.15
Raw total energy, eV per cell: -21.37

```
13
Lattice="-0.0255 0.2657 6.0394 4.8613 -4.8799 3.2608 4.9509 5.0589 2.8239" Properties=species:S:1:pos:R:3 pbc="T T T"
Mg 2.4709 2.4986 1.4247
Nd -0.0174 0.2657 6.0395
Cd 6.4446 0.2087 6.0692
Cd 4.8897 -1.1506 9.1481
Cd 4.8337 -2.6380 6.1877
Cd 3.4238 0.2353 6.0553
Mg 2.4583 2.6305 4.4217
Cd 2.0884 0.1143 3.0294
Mg 2.4267 -2.4081 1.6404
Mg 7.6479 0.3308 9.0945
Cd 4.8853 3.0833 5.9362
Mg 2.4141 -2.2762 4.6374
Cd 4.9168 1.8606 9.0157
```